Density functional theory data (PBE) for an optimized crystal structure of MnCr2CuHg.

Unit cell a=4.358 b=4.607 c=4.358 alpha=90.00 beta=90.00 gamma=90.00
Last column: magnetic moment on the atom in μB.
Element x y z (fractional)
1 Cu 0.000 0.500 0.000  -0.10
2 Hg 0.500 0.500 0.500  -0.04
3 Cr 0.500 0.000 0.000  3.03
4 Cr 0.000 0.000 0.500  2.60
5 Mn 0.000 0.000 0.000  -2.00

Computed properties:
Theoretical density: 8.0 g cm⁻³
SG: P4/mmm, No. 123
Total energy: -5.651 eV per atom
Formation enthalpy at 0 K: 88.0 kJ per mole of atoms
Magnetization: 3.8 μB/f.u.
DOS at the Fermi energy: 3.85 states/eV per cell